{
  "formula": "Ca3GaIr2",
  "functional": "PBE",
  "state": "relaxed",
  "ef_ev_per_atom": -0.42,
  "lattice": [[-6.619, 0.211, 1.988], [-0.872, -5.608, 3.949], [0.149, 2.339, 6.505]],
  "species": ["Ca", "Ir", "Ca", "Ir", "Ir", "Ga", "Ca", "Ga", "Ca", "Ir", "Ca", "Ca"],
  "frac_coords": [[0.431, 0.750, 0.069], [0.837, 0.837, 0.837], [0.250, 0.931, 0.569], [0.663, 0.663, 0.663], [0.163, 0.163, 0.163], [0.500, 0.500, 0.500], [0.750, 0.069, 0.431], [0.000, 0.000, 0.000], [0.069, 0.431, 0.750], [0.337, 0.337, 0.337], [0.931, 0.569, 0.250], [0.569, 0.250, 0.931]]
}